1.
The following is a DFT calculation (PBE) of a relaxed Pm3Sm8Ho3 crystal.

a b c (Å): 5.709 9.770 9.770
angles (deg): 101.93 73.02 73.02
Element x y z (fractional)
Pm: 0.500 0.000 0.000
Pm: 0.000 0.820 0.180
Pm: 0.000 0.180 0.820
Sm: 0.659 0.119 0.562
Sm: 0.341 0.881 0.438
Sm: 0.659 0.562 0.119
Sm: 0.341 0.438 0.881
Sm: 0.839 0.764 0.558
Sm: 0.161 0.236 0.442
Sm: 0.839 0.558 0.764
Sm: 0.161 0.442 0.236
Ho: 0.500 0.500 0.500
Ho: 0.798 0.202 0.202
Ho: 0.202 0.798 0.798

Summary:
The value obtained for the formation energy from the elements is 0.1029 eV per atom. For the density of states at the Fermi level, the calculation gives 1.413 states/eV per atom.

=====

2.
The following is a DFT calculation (PBE) of a relaxed Pm2Sm6Ho3 crystal.

a b c (Å): 6.189 6.196 11.753
angles (deg): 84.90 79.74 60.04
Element x y z (fractional)
Pm: 0.166 0.667 0.500
Pm: 0.834 0.333 0.500
Sm: 0.416 0.667 0.752
Sm: 0.749 0.000 0.752
Sm: 0.083 0.333 0.752
Sm: 0.251 0.000 0.248
Sm: 0.584 0.333 0.248
Sm: 0.917 0.667 0.248
Ho: 0.000 0.000 0.000
Ho: 0.334 0.331 0.000
Ho: 0.666 0.669 0.000

Summary:
The value obtained for the formation energy from the elements is 0.1731 eV per atom. For the density of states at the Fermi level, the calculation gives 1.500 states/eV per atom. The relative energy among the computed polymorphs is 0.0000 eV/atom.

=====

3.
The following is a DFT calculation (PBE) of a relaxed Pm3Sm2Ho8 crystal.

a b c (Å): 6.930 9.494 9.494
angles (deg): 57.73 61.22 61.22
Element x y z (fractional)
Pm: 0.500 0.000 0.000
Pm: 0.000 0.176 0.824
Pm: 0.000 0.824 0.176
Sm: 0.486 0.218 0.218
Sm: 0.514 0.782 0.782
Ho: 0.068 0.582 0.582
Ho: 0.932 0.418 0.418
Ho: 0.011 0.192 0.192
Ho: 0.989 0.808 0.808
Ho: 0.563 0.562 0.200
Ho: 0.563 0.200 0.562
Ho: 0.437 0.800 0.438
Ho: 0.437 0.438 0.800

Summary:
The value obtained for the formation energy from the elements is 0.2332 eV per atom. For the density of states at the Fermi level, the calculation gives 1.259 states/eV per atom. The relative energy among the computed polymorphs is 0.0000 eV/atom.

=====

> What is the formation energy from the elements in the first record?

0.1029 eV per atom

=====

> Look up the formation energy from the elements of the third one.

0.2332 eV per atom

=====

> The highest formation energy from the elements belongs to which entry?

Pm3Sm2Ho8